DFT (PBE with a Hubbard U) results for crystalline KPm2MoO8 at its relaxed geometry.

The structure in extended XYZ format:
```
12
Lattice="-2.093 4.110 -1.648 -2.094 0.257 4.169 5.519 4.745 3.415" Properties=species:S:1:pos:R:3 pbc="T T T"
K 2.760 2.373 1.707
Pm 2.488 5.752 3.696
Pm -1.156 3.361 2.240
Mo 0.000 0.000 0.000
O -0.644 1.457 3.591
O 2.176 7.693 4.944
O -0.859 3.726 -0.188
O 1.976 7.656 2.344
O -0.844 1.420 0.991
O 2.191 5.386 6.123
O 0.367 4.627 3.643
O 0.966 4.486 2.292
```

Its symmetry is P-1 (2). Its total moment is 1.006 μB per cell. For the total DFT energy (no corrections), the calculation gives -82.50 eV/cell.